1.
LaPmAs2O8 | PBE | relaxed

Unit cell a=5.190 b=5.190 c=11.809 alpha=90.00 beta=90.00 gamma=90.00
Space group I-4 (No. 82)
Symmetry-distinct sites (fractional):
La (0.000, 0.000, 0.000)
Pm (0.000, 0.500, 0.750)
As (0.000, 0.000, 0.500)
As (0.000, 0.500, 0.250)
O (0.133, 0.248, 0.579)
O (0.141, 0.747, 0.174)

**Crystal system**: tetragonal


2.
V3ReS | PBE | relaxed

Unit cell a=4.210 b=4.210 c=4.210 alpha=90.00 beta=90.00 gamma=90.00
Space group Pm-3m (No. 221)
Symmetry-distinct sites (fractional):
V (0.000, 0.000, 0.500)
Re (0.500, 0.500, 0.500)
S (0.000, 0.000, 0.000)

**Crystal system**: cubic
**E above lowest polymorph**: 0 meV/atom


3.
Rb3Na2InF9 | PBE | relaxed

Unit cell a=6.2106 b=6.2106 c=7.8500 alpha=90.00 beta=90.00 gamma=120.00
Space group P-3m1 (No. 164)
Symmetry-distinct sites (fractional):
Rb (0.0000, 0.0000, 0.0000)
Rb (0.3333, 0.6667, 0.6809)
Na (0.3333, 0.6667, 0.1827)
In (0.0000, 0.0000, 0.5000)
F (0.0000, 0.5000, 0.0000)
F (0.1589, 0.3179, 0.3437)

**Crystal system**: trigonal


| no. | formation energy from raw total energies (kJ/mol of atoms) |
| --- | --- |
| 1 | -226 |
| 2 | 30 |
| 3 | -246 |